Compound: V3AuN
Source: Alexandria
Functional: PBE
Structure: optimized geometry

## Properties
V in Å³ per atom: 12.57
Total magnetization in μB per formula unit: 0.00
ΔE_f (raw) in eV/atom: -0.564

a = 8.2854 Å, b = 8.2854 Å, c = 8.2854 Å
α = 152.11°, β = 151.74°, γ = 40.12°
With the nearest neighbours (Å) after each atom.
Element x y z (fractional)
V  0.0548  0.8048  0.2500  1 N 1.98
V  0.1841  0.4341  0.7500  2 N 2.00
V  0.3076  0.0576  0.2500  3 N 1.96-2.03
V  0.6924  0.9424  0.7500  3 N 1.96-2.03
V  0.8159  0.5659  0.2500  2 N 2.00
V  0.9452  0.1952  0.7500  1 N 1.98
Au  0.4346  0.6846  0.7500  10 V 2.74-2.85, 2 Au 2.85
Au  0.5654  0.3154  0.2500  10 V 2.74-2.85, 2 Au 2.85
N  0.1818  0.9318  0.2500  6 V 1.96-2.03
N  0.8182  0.0682  0.7500  6 V 1.96-2.03